Density functional theory data (PBE) for an optimized crystal structure of Sm7RuI12.

Structure (CIF):
```
data_Sm7RuI12
_chemical_formula_sum 'Sm21 Ru3 I36'
_space_group_name_H-M_alt 'R -3'
_space_group_IT_number 148
_space_group_name_Hall '-R 3'
_cell_length_a 16.0064
_cell_length_b 16.0064
_cell_length_c 11.1474
_cell_angle_alpha 90.00
_cell_angle_beta 90.00
_cell_angle_gamma 120.00
loop_
_atom_site_label
_atom_site_type_symbol
_atom_site_fract_x
_atom_site_fract_y
_atom_site_fract_z
_atom_site_occupancy
Sm1 Sm 0.0000 0.0000 0.0000 1
Sm2 Sm 0.0430 0.1594 0.3618 1
Ru1 Ru 0.0000 0.0000 0.5000 1
I1 I 0.0196 0.5862 0.1594 1
I2 I 0.0483 0.1754 0.8357 1
```

Properties
As for the total energy: -4.273 eV per atom. The value obtained for the uncorrected formation energy is -1227.6 meV per atom.